# 1
Entry from Alexandria: a relaxed structure of TlInIr2 (PBE-GGA).

Unit cell a=4.802 b=4.802 c=3.119 alpha=90.00 beta=90.00 gamma=99.12
Element x y z (fractional)
Ir: 0.500 0.500 0.000
Ir: 0.000 0.000 0.000
Tl: 0.500 0.000 0.500
In: 0.000 0.500 0.500

Output
Formation energy ... 0.28 eV per atom
Magnetic moment ... 0.00 μB per cell
Offset from the most stable computed form ... 1.1 kJ/mol of atoms
E_tot ... -5.4246 eV per atom

---

# 2
Entry from Alexandria: a relaxed structure of TlInIr2 (PBE-GGA).

Unit cell a=5.427 b=5.427 c=4.967 alpha=74.51 beta=74.51 gamma=31.54
Element x y z (fractional)
Ir: 0.027 0.027 0.048
Ir: 0.723 0.723 0.704
Tl: 0.477 0.477 0.566
In: 0.274 0.274 0.182

Output
Formation energy ... 0.31 eV per atom
Magnetic moment ... 0.00 μB per cell
Offset from the most stable computed form ... 3.5 kJ/mol of atoms
E_tot ... -5.3999 eV per atom

---

# 3
Entry from Alexandria: a relaxed structure of Tl2InIr2 (PBE-GGA).

Unit cell a=7.092 b=7.092 c=4.047 alpha=90.00 beta=90.00 gamma=90.00
Element x y z (fractional)
Tl: 0.338 0.162 0.500
Tl: 0.162 0.662 0.500
Tl: 0.838 0.338 0.500
Tl: 0.662 0.838 0.500
Ir: 0.861 0.639 0.000
Ir: 0.139 0.361 0.000
Ir: 0.639 0.139 0.000
Ir: 0.361 0.861 0.000
In: 0.500 0.500 0.000
In: 0.000 0.000 0.000

Output
Formation energy ... 0.29 eV per atom
Magnetic moment ... 0.00 μB per cell
Offset from the most stable computed form ... 0.0 kJ/mol of atoms
E_tot ... -4.7440 eV per atom

---

# 4
Entry from Alexandria: a relaxed structure of YTlIn2Ir (PBE-GGA).

Unit cell a=5.195 b=5.195 c=5.326 alpha=90.00 beta=90.00 gamma=90.00
Element x y z (fractional)
Tl: 0.500 0.500 0.500
Ir: 0.000 0.000 0.000
In: 0.500 0.000 0.000
In: 0.000 0.500 0.000
Y: 0.000 0.000 0.500

Output
Formation energy ... -0.24 eV per atom
Magnetic moment ... 0.00 μB per cell
E_tot ... -4.8690 eV per atom

---

# 5
Entry from Alexandria: a relaxed structure of Tm2InIr2 (PBE-GGA).

Unit cell a=5.405 b=5.752 c=8.173 alpha=106.04 beta=90.00 gamma=118.02
Element x y z (fractional)
Tm: 0.514 0.708 0.851
Tm: 0.194 0.708 0.351
Tm: 0.806 0.292 0.649
Tm: 0.486 0.292 0.149
Ir: 0.986 0.282 0.014
Ir: 0.296 0.282 0.514
Ir: 0.014 0.718 0.986
Ir: 0.704 0.718 0.486
In: 0.163 0.000 0.750
In: 0.837 0.000 0.250

Output
Formation energy ... -0.78 eV per atom
Magnetic moment ... 0.00 μB per cell
E_tot ... -6.6569 eV per atom

---

# 6
Entry from Alexandria: a relaxed structure of Tm4In2Ir (PBE-GGA).

Unit cell a=3.691 b=8.995 c=8.934 alpha=138.13 beta=90.00 gamma=90.00
Element x y z (fractional)
In: 0.500 0.306 0.804
In: 0.500 0.837 0.339
Tm: 0.000 0.693 0.942
Tm: 0.500 0.901 0.753
Tm: 0.000 0.450 0.201
Tm: 0.500 0.241 0.390
Ir: 0.000 0.071 0.071

Output
Formation energy ... -0.42 eV per atom
Magnetic moment ... 0.00 μB per cell
E_tot ... -5.0252 eV per atom

---

# 7
Entry from Alexandria: a relaxed structure of Tm6InIr5 (PBE-GGA).

Unit cell a=4.764 b=7.113 c=7.520 alpha=90.00 beta=108.03 gamma=90.00
Element x y z (fractional)
Ir: 0.338 0.000 0.677
Ir: 0.667 0.500 0.334
Ir: 0.333 0.500 0.666
Ir: 0.000 0.500 0.000
Ir: 0.662 0.000 0.323
Tm: 0.173 0.255 0.345
Tm: 0.500 0.734 0.000
Tm: 0.827 0.255 0.655
Tm: 0.500 0.266 0.000
Tm: 0.827 0.745 0.655
Tm: 0.173 0.745 0.345
In: 0.000 0.000 0.000

Output
Formation energy ... -0.81 eV per atom
Magnetic moment ... 0.00 μB per cell
E_tot ... -6.9687 eV per atom

---

# 8
Entry from Alexandria: a relaxed structure of Tm3In2Ir (PBE-GGA).

Unit cell a=5.020 b=7.981 c=7.419 alpha=90.00 beta=90.00 gamma=71.67
Element x y z (fractional)
Tm: 0.176 0.648 0.218
Tm: 0.500 0.000 0.237
Tm: 0.824 0.352 0.782
Tm: 0.824 0.352 0.218
Tm: 0.176 0.648 0.782
Tm: 0.500 0.000 0.763
In: 0.665 0.670 0.500
In: 0.000 0.000 0.500
In: 0.000 0.000 0.000
In: 0.335 0.330 0.500
Ir: 0.348 0.303 0.000
Ir: 0.652 0.697 0.000

Output
Formation energy ... -0.60 eV per atom
Magnetic moment ... 0.00 μB per cell
E_tot ... -5.2292 eV per atom

---

# 9
Entry from Alexandria: a relaxed structure of Tm3InIr (PBE-GGA).

Unit cell a=5.469 b=6.141 c=9.493 alpha=65.53 beta=64.90 gamma=65.45
Element x y z (fractional)
Tm: 0.734 0.676 0.722
Tm: 0.946 0.945 0.264
Tm: 0.266 0.324 0.278
Tm: 0.698 0.700 0.103
Tm: 0.302 0.300 0.897
Tm: 0.054 0.055 0.736
Ir: 0.255 0.745 0.001
Ir: 0.745 0.255 0.999
In: 0.360 0.754 0.483
In: 0.640 0.246 0.517

Output
Formation energy ... -0.61 eV per atom
Magnetic moment ... 0.00 μB per cell
Offset from the most stable computed form ... 0.0 kJ/mol of atoms
E_tot ... -5.6174 eV per atom

---

# 10
Entry from Alexandria: a relaxed structure of TmInIr4 (PBE-GGA).

Unit cell a=5.302 b=5.302 c=5.302 alpha=60.00 beta=60.00 gamma=60.00
Element x y z (fractional)
Ir: 0.625 0.625 0.124
Ir: 0.625 0.625 0.625
Ir: 0.625 0.124 0.625
Ir: 0.124 0.625 0.625
In: 0.000 0.000 0.000
Tm: 0.250 0.250 0.250

Output
Formation energy ... -0.39 eV per atom
Magnetic moment ... 0.00 μB per cell
E_tot ... -7.4955 eV per atom

---

# 11
Entry from Alexandria: a relaxed structure of Tm8InIr2 (PBE-GGA).

Unit cell a=5.375 b=7.831 c=7.831 alpha=112.71 beta=97.53 gamma=97.53
Element x y z (fractional)
Tm: 0.500 0.248 0.752
Tm: 0.300 0.614 0.614
Tm: 0.700 0.386 0.386
Tm: 0.079 0.330 0.068
Tm: 0.079 0.068 0.330
Tm: 0.921 0.670 0.932
Tm: 0.921 0.932 0.670
Tm: 0.500 0.752 0.248
Ir: 0.000 0.688 0.312
Ir: 0.000 0.312 0.688
In: 0.500 0.000 0.000

Output
Formation energy ... -0.47 eV per atom
Magnetic moment ... 0.00 μB per cell
E_tot ... -5.5813 eV per atom

---

# 12
Entry from Alexandria: a relaxed structure of TmInIr2 (PBE-GGA).

Unit cell a=3.381 b=3.381 c=6.379 alpha=90.00 beta=90.00 gamma=90.00
Element x y z (fractional)
Ir: 0.000 0.000 0.760
Ir: 0.000 0.000 0.240
In: 0.500 0.500 0.000
Tm: 0.500 0.500 0.500

Output
Formation energy ... -0.51 eV per atom
Magnetic moment ... 0.00 μB per cell
E_tot ... -6.7387 eV per atom

---

# 13
Entry from Alexandria: a relaxed structure of Tm5InIr2 (PBE-GGA).

Unit cell a=7.690 b=7.690 c=8.622 alpha=116.49 beta=116.49 gamma=90.00
Element x y z (fractional)
Tm: 0.791 0.974 0.266
Tm: 0.526 0.709 0.734
Tm: 0.291 0.791 0.266
Tm: 0.026 0.526 0.734
Tm: 0.474 0.291 0.266
Tm: 0.974 0.474 0.266
Tm: 0.209 0.026 0.734
Tm: 0.000 0.000 0.000
Tm: 0.709 0.209 0.734
Tm: 0.500 0.500 0.000
In: 0.250 0.250 0.500
In: 0.750 0.750 0.500
Ir: 0.359 0.859 0.000
Ir: 0.141 0.359 0.000
Ir: 0.859 0.641 0.000
Ir: 0.641 0.141 0.000

Output
Formation energy ... -0.71 eV per atom
Magnetic moment ... 0.00 μB per cell
E_tot ... -6.0620 eV per atom

---

# 14
Entry from Alexandria: a relaxed structure of Tm6In3Ir (PBE-GGA).

Unit cell a=5.034 b=8.980 c=11.627 alpha=90.00 beta=89.99 gamma=90.00
Element x y z (fractional)
Ir: 0.000 0.000 0.000
Ir: 0.500 0.500 0.500
In: 0.000 0.646 0.208
In: 0.500 0.854 0.708
In: 0.000 0.354 0.792
In: 0.500 0.500 0.000
In: 0.500 0.146 0.292
In: 0.000 0.000 0.500
Tm: 0.000 0.302 0.094
Tm: 0.000 0.698 0.906
Tm: 0.000 0.021 0.765
Tm: 0.000 0.979 0.235
Tm: 0.500 0.521 0.735
Tm: 0.500 0.479 0.265
Tm: 0.000 0.654 0.579
Tm: 0.500 0.802 0.406
Tm: 0.000 0.346 0.421
Tm: 0.500 0.198 0.594
Tm: 0.500 0.154 0.921
Tm: 0.500 0.846 0.079

Output
Formation energy ... -0.45 eV per atom
Magnetic moment ... 0.00 μB per cell
Offset from the most stable computed form ... 0.9 kJ/mol of atoms
E_tot ... -4.8450 eV per atom

---

# 15
Entry from Alexandria: a relaxed structure of TmInIr2 (PBE-GGA).

Unit cell a=3.635 b=4.448 c=4.448 alpha=90.00 beta=90.00 gamma=90.00
Element x y z (fractional)
Ir: 0.000 0.500 0.000
Ir: 0.000 0.000 0.500
In: 0.500 0.000 0.000
Tm: 0.500 0.500 0.500

Output
Formation energy ... -0.59 eV per atom
Magnetic moment ... 0.00 μB per cell
E_tot ... -6.8243 eV per atom

---

# 16
Entry from Alexandria: a relaxed structure of TmIn9Ir2 (PBE-GGA).

Unit cell a=7.170 b=9.481 c=9.481 alpha=81.78 beta=67.78 gamma=67.78
Element x y z (fractional)
In: 0.660 0.560 0.201
In: 0.421 0.799 0.440
In: 0.139 0.201 0.440
In: 0.970 0.940 0.701
In: 0.780 0.560 0.799
In: 0.970 0.701 0.940
In: 0.421 0.440 0.799
In: 0.780 0.799 0.560
In: 0.329 0.060 0.701
In: 0.750 0.500 0.500
In: 0.000 0.000 0.000
In: 0.611 0.060 0.299
In: 0.090 0.299 0.940
In: 0.139 0.440 0.201
In: 0.090 0.940 0.299
In: 0.660 0.201 0.560
In: 0.329 0.701 0.060
In: 0.611 0.299 0.060
Tm: 0.250 0.500 0.500
Tm: 0.500 0.000 0.000
Ir: 0.875 0.250 0.250
Ir: 0.875 0.750 0.250
Ir: 0.875 0.250 0.750
Ir: 0.375 0.750 0.750

Output
Formation energy ... 0.00 eV per atom
Magnetic moment ... 0.00 μB per cell
E_tot ... -3.9074 eV per atom

---

# 17
Entry from Alexandria: a relaxed structure of Tm4In3Ir (PBE-GGA).

Unit cell a=3.393 b=3.393 c=16.835 alpha=90.00 beta=90.00 gamma=90.00
Site moments in Bohr magnetons follow the coordinates.
Element x y z (fractional)
Ir: 0.500 0.500 0.000  0.00
In: 0.500 0.500 0.762  0.00
In: 0.500 0.500 0.238  0.00
In: 0.500 0.500 0.500  0.00
Tm: 0.000 0.000 0.901  0.00
Tm: 0.000 0.000 0.632  0.20
Tm: 0.000 0.000 0.099  0.00
Tm: 0.000 0.000 0.368  0.20

Output
Formation energy ... -0.57 eV per atom
Magnetic moment ... 0.47 μB per cell
E_tot ... -4.9365 eV per atom

---

# 18
Entry from Alexandria: a relaxed structure of Tm4InIr (PBE-GGA).

Unit cell a=9.537 b=9.537 c=9.537 alpha=60.00 beta=60.00 gamma=60.00
Element x y z (fractional)
Ir: 0.609 0.609 0.609
Ir: 0.173 0.609 0.609
Ir: 0.609 0.609 0.173
Ir: 0.609 0.173 0.609
Tm: 0.942 0.942 0.558
Tm: 0.190 0.810 0.190
Tm: 0.798 0.401 0.401
Tm: 0.401 0.401 0.401
Tm: 0.942 0.558 0.558
Tm: 0.190 0.190 0.810
Tm: 0.810 0.810 0.190
Tm: 0.558 0.942 0.942
Tm: 0.190 0.810 0.810
Tm: 0.810 0.190 0.810
Tm: 0.558 0.558 0.942
Tm: 0.810 0.190 0.190
Tm: 0.942 0.558 0.942
Tm: 0.401 0.401 0.798
Tm: 0.558 0.942 0.558
Tm: 0.401 0.798 0.401
In: 0.166 0.166 0.501
In: 0.166 0.166 0.166
In: 0.166 0.501 0.166
In: 0.501 0.166 0.166

Output
Formation energy ... -0.61 eV per atom
Magnetic moment ... 0.00 μB per cell
Offset from the most stable computed form ... 0.0 kJ/mol of atoms
E_tot ... -5.5232 eV per atom

---

# 19
Entry from Alexandria: a relaxed structure of Tm3InIr (PBE-GGA).

Unit cell a=4.730 b=6.725 c=8.226 alpha=90.00 beta=90.00 gamma=90.00
Element x y z (fractional)
Tm: 0.750 0.005 0.654
Tm: 0.250 0.995 0.346
Tm: 0.250 0.505 0.346
Tm: 0.250 0.250 0.942
Tm: 0.750 0.495 0.654
Tm: 0.750 0.750 0.058
Ir: 0.750 0.750 0.388
Ir: 0.250 0.250 0.612
In: 0.750 0.250 0.186
In: 0.250 0.750 0.814

Output
Formation energy ... -0.58 eV per atom
Magnetic moment ... 0.00 μB per cell
Offset from the most stable computed form ... 3.2 kJ/mol of atoms
E_tot ... -5.5843 eV per atom

---

# 20
Entry from Alexandria: a relaxed structure of Tm3InIr2 (PBE-GGA).

Unit cell a=3.301 b=3.301 c=12.017 alpha=90.00 beta=90.00 gamma=90.00
Element x y z (fractional)
Tm: 0.000 0.000 0.710
Tm: 0.000 0.000 0.000
Tm: 0.000 0.000 0.290
Ir: 0.500 0.500 0.150
Ir: 0.500 0.500 0.850
In: 0.500 0.500 0.500

Output
Formation energy ... -0.78 eV per atom
Magnetic moment ... 0.00 μB per cell
E_tot ... -6.4223 eV per atom

---

# 21
Entry from Alexandria: a relaxed structure of Tm4InIr (PBE-GGA).

Unit cell a=4.921 b=4.923 c=8.587 alpha=73.33 beta=73.35 gamma=60.02
Element x y z (fractional)
Tm: 0.114 0.113 0.659
Tm: 0.366 0.366 0.902
Tm: 0.886 0.887 0.341
Tm: 0.634 0.634 0.098
In: 0.500 0.500 0.500
Ir: 0.000 0.000 0.000

Output
Formation energy ... -0.43 eV per atom
Magnetic moment ... 0.00 μB per cell
Offset from the most stable computed form ... 16.8 kJ/mol of atoms
E_tot ... -5.3487 eV per atom

---

# 22
Entry from Alexandria: a relaxed structure of Tm7In2Ir2 (PBE-GGA).

Unit cell a=6.743 b=6.997 c=6.743 alpha=90.00 beta=105.56 gamma=90.00
Element x y z (fractional)
Tm: 0.000 0.000 0.000
Tm: 0.000 0.248 0.500
Tm: 0.500 0.752 0.000
Tm: 0.500 0.759 0.500
Tm: 0.500 0.248 0.000
Tm: 0.000 0.752 0.500
Tm: 0.500 0.241 0.500
Ir: 0.714 0.000 0.286
Ir: 0.286 0.000 0.714
In: 0.823 0.500 0.823
In: 0.177 0.500 0.177

Output
Formation energy ... -0.48 eV per atom
Magnetic moment ... 0.00 μB per cell
E_tot ... -5.4350 eV per atom